# 1
## TaHRh3 (GGA-PBE)

Data for a geometry-optimized TaHRh3 structure.

abc: 9.430 9.430 9.430
angles: 151.23 151.23 41.14
Positions (direct):
1 Ta 0.000 0.000 0.000
2 Ta 0.750 0.250 0.500
3 H 0.145 0.645 0.500
4 H 0.355 0.855 0.500
5 Rh 0.341 0.341 0.000
6 Rh 0.368 0.122 0.246
7 Rh 0.659 0.659 0.000
8 Rh 0.876 0.122 0.754
9 Rh 0.878 0.124 0.246
10 Rh 0.878 0.632 0.754

Output
Total moment in μB/cell: 0.0
Relative energy among the computed polymorphs in meV/atom: 1555
Density in g cm⁻³: 8.41
Calculated total energy in eV per cell: -63.84

=====

# 2
## TaH3Rh (GGA-PBE)

Data for a geometry-optimized TaH3Rh structure.

abc: 3.544 3.544 3.544
angles: 90.00 90.00 90.00
Positions (direct):
1 Ta 0.000 0.000 0.000
2 H 0.000 0.000 0.500
3 H 0.000 0.500 0.000
4 H 0.500 0.000 0.000
5 Rh 0.500 0.500 0.500

Output
Total moment in μB/cell: 0.0
Density in g cm⁻³: 10.70
Calculated total energy in eV per cell: -27.62

=====

# 3
## TaHRh3 (GGA-PBE)

Data for a geometry-optimized TaHRh3 structure.

abc: 7.317 7.317 4.547
angles: 90.00 90.00 120.00
Positions (direct):
1 Ta 0.000 0.000 0.000
2 Ta 0.333 0.667 0.667
3 Ta 0.667 0.333 0.333
4 H 0.000 0.000 0.587
5 H 0.333 0.667 0.254
6 H 0.667 0.333 0.921
7 Rh 0.203 0.405 0.119
8 Rh 0.203 0.797 0.119
9 Rh 0.261 0.131 0.452
10 Rh 0.536 0.072 0.786
11 Rh 0.536 0.464 0.786
12 Rh 0.595 0.797 0.119
13 Rh 0.869 0.131 0.452
14 Rh 0.869 0.739 0.452
15 Rh 0.928 0.464 0.786

Output
Total moment in μB/cell: 0.0
Relative energy among the computed polymorphs in meV/atom: 543
Density in g cm⁻³: 11.60
Calculated total energy in eV per cell: -110.94